Version a
CaEuIn2 | PBE | relaxed

Calculated values
symmetry	P4/mmm
magnetization	7.07	μB per formula unit

Geometry as POSCAR:
```
CaEuIn2
1.0
-1.1263 3.7086 0.0232
-3.6742 -1.1191 0.5202
1.0284 0.2633 7.8292
In Eu Ca
2 1 1
Direct
0.0000 0.0000 0.2636
0.0000 0.0000 0.7364
0.5000 0.5000 0.0000
0.5000 0.5000 0.5000
```

=====

Version b
CaEuIn2 | PBE | relaxed

Calculated values
symmetry	Fm-3m
magnetization	7.09	μB per formula unit

Geometry as POSCAR:
```
CaEuIn2
1.0
-3.9660 0.5404 3.7937
-0.2422 -3.5013 4.2538
1.2610 1.7401 5.0788
Eu Ca In
1 1 2
Direct
0.0000 0.0000 0.0000
0.5000 0.5000 0.5000
0.7500 0.7500 0.7500
0.2500 0.2500 0.2500
```

=====

Stability order, top to bottom: version b, version a